CaLa3Zn2 after structural relaxation, computed with PBE.

```
CaLa3Zn2
1.0
-3.895 3.599 -0.197
-4.201 -4.353 3.540
3.071 3.777 8.290
La Zn Ca
6 4 2
direct
0.000 0.321 0.331
0.500 0.172 0.831
0.000 0.495 0.941
0.500 0.672 0.169
0.000 0.821 0.669
0.000 0.995 0.059
0.000 0.770 0.349
0.500 0.230 0.155
0.500 0.730 0.845
0.000 0.270 0.651
0.500 0.512 0.552
0.500 0.012 0.448
```

**Calculated formation energy**: -188.3 meV per atom
**D(E_F)**: 1.08 states/eV/atom
**Total energy**: -3.410 eV/atom
**Theoretical density**: 5.46 g/cm³
**Distance to the lowest polymorph of the same formula**: 0.015 eV/f.u.